1.
Below is a relaxed structure of MgCd2Hg3, with properties calculated at the PBE level.

a b c (Å): 3.3545 11.1471 7.5017
angles (deg): 90.00 90.00 90.00
Last column: nearest neighbours and their distance in Å.
Positions (direct):
Mg 0.0000 0.0377 0.0000  9 Hg 2.97-3.21
Mg 0.0000 0.9623 0.5000  9 Hg 2.97-3.21
Cd 0.0000 0.3432 0.5290  6 Cd 3.08-3.35, 5 Hg 3.14-3.31
Cd 0.0000 0.6568 0.0290  6 Cd 3.08-3.35, 5 Hg 3.14-3.31
Cd 0.5000 0.4725 0.2441  6 Cd 3.08-3.35, 4 Hg 3.14-3.29
Cd 0.5000 0.5275 0.7441  6 Cd 3.08-3.35, 4 Hg 3.14-3.29
Hg 0.0000 0.3230 0.9690  5 Cd 3.14-3.31, 1 Mg 3.19, 6 Hg 3.29-3.41
Hg 0.0000 0.6770 0.4690  5 Cd 3.14-3.31, 1 Mg 3.19, 6 Hg 3.29-3.41
Hg 0.5000 0.1381 0.7094  4 Mg 2.97-3.02, 2 Cd 3.14, 3 Hg 3.22-3.29
Hg 0.5000 0.1599 0.2821  4 Mg 3.02-3.21, 4 Hg 3.22-3.37, 2 Cd 3.23
Hg 0.5000 0.8401 0.7821  4 Mg 3.02-3.21, 4 Hg 3.22-3.37, 2 Cd 3.23
Hg 0.5000 0.8619 0.2094  4 Mg 2.97-3.02, 2 Cd 3.14, 3 Hg 3.22-3.29

- SG = Pmc2_1, No. 26
- DFT total energy (eV per atom) = -0.76
- energy of formation (meV per atom) = -42
- total magnetization (μB/f.u.) = 0.000



2.
Below is a relaxed structure of Pr4FeS7, with properties calculated at the PBE level.

a b c (Å): 9.5862 6.8627 9.8879
angles (deg): 90.00 113.09 90.00
Last column: nearest neighbours and their distance in Å.
Positions (direct):
Pr 0.1049 0.0000 0.3513  5 S 2.77-2.95
Pr 0.1520 0.0389 0.8654  7 S 2.81-3.04
Pr 0.2635 0.5577 0.1387  5 S 2.73-3.03
Pr 0.3590 0.4621 0.6164  7 S 2.86-3.13
Pr 0.6410 0.9621 0.3836  7 S 2.86-3.13
Pr 0.7365 0.0577 0.8613  5 S 2.73-3.03
Pr 0.8480 0.5389 0.1346  7 S 2.81-3.04
Pr 0.8951 0.5000 0.6487  5 S 2.77-2.95
Fe 0.4705 0.7861 0.9278  4 S 2.25-2.44
Fe 0.5295 0.2861 0.0722  4 S 2.25-2.44
S 0.0211 0.8436 0.0660  5 Pr 2.82-3.06
S 0.0901 0.2309 0.5969  4 Pr 2.81-2.97
S 0.1453 0.3953 0.3228  4 Pr 2.73-2.90
S 0.2329 0.6481 0.8230  1 Fe 2.30
S 0.3687 0.1516 0.1612  1 Fe 2.25
S 0.3821 0.7841 0.4251  4 Pr 2.88-3.03
S 0.4417 0.1250 0.8471  2 Fe 2.33-2.44
S 0.5583 0.6250 0.1529  2 Fe 2.33-2.44
S 0.6179 0.2841 0.5749  4 Pr 2.88-3.03
S 0.6313 0.6516 0.8388  1 Fe 2.25
S 0.7671 0.1481 0.1770  1 Fe 2.30
S 0.8547 0.8953 0.6772  4 Pr 2.73-2.90
S 0.9099 0.7309 0.4031  4 Pr 2.81-2.97
S 0.9789 0.3436 0.9340  5 Pr 2.82-3.06

- SG = P2_1, No. 4
- DFT total energy (eV per atom) = -6.36
- formation energy (no corrections) (eV/atom) = -1.659
- total magnetization (μB/f.u.) = 4.000



3.
Below is a relaxed structure of Sm3Mg2Al4, with properties calculated at the PBE level.

a b c (Å): 5.9955 5.9955 9.0259
angles (deg): 113.11 113.11 46.74
Last column: nearest neighbours and their distance in Å.
Positions (direct):
Sm 0.0000 0.0000 0.0000  8 Al 3.25-3.33, 4 Mg 3.32, 2 Sm 3.62
Sm 0.3352 0.3352 0.3314  8 Al 3.25-3.38, 4 Mg 3.28-3.31, 2 Sm 3.60-3.62
Sm 0.6648 0.6648 0.6686  8 Al 3.25-3.38, 4 Mg 3.28-3.31, 2 Sm 3.60-3.62
Mg 0.3837 0.3837 0.7178  3 Al 2.78-2.79
Mg 0.6163 0.6163 0.2822  3 Al 2.78-2.79
Al 0.0526 0.0526 0.3911  1 Al 2.67, 2 Mg 2.78
Al 0.2727 0.2727 0.9442  2 Al 2.71, 1 Mg 2.79
Al 0.7273 0.7273 0.0558  2 Al 2.71, 1 Mg 2.79
Al 0.9474 0.9474 0.6089  1 Al 2.67, 2 Mg 2.78

- SG = C2/m, No. 12
- DFT total energy (eV per atom) = -3.93
- energy of formation (meV per atom) = -337
- total magnetization (μB/f.u.) = 0.000



4.
Below is a relaxed structure of TlInSe2, with properties calculated at the PBE level.

a b c (Å): 8.4079 8.4079 8.4079
angles (deg): 28.10 28.10 28.10
Last column: nearest neighbours and their distance in Å.
Positions (direct):
Tl 0.0000 0.0000 0.0000  3 Se 2.78
In 0.2330 0.2330 0.2330  3 Se 2.70
Se 0.5120 0.5120 0.5120  3 In 2.70
Se 0.7274 0.7274 0.7274  3 Tl 2.78

- SG = R3m, No. 160
- DFT total energy (eV per atom) = -3.23
- formation energy (no corrections) (eV/atom) = -0.212
- total magnetization (μB/f.u.) = 0.000



5.
Below is a relaxed structure of Mg2HCl, with properties calculated at the PBE level.

a b c (Å): 6.8791 6.8791 6.8791
angles (deg): 135.07 135.07 65.43
Last column: nearest neighbours and their distance in Å.
Positions (direct):
Mg 0.0295 0.6250 0.9045  2 H 2.12
Mg 0.3750 0.2795 0.4045  2 H 2.12
Mg 0.7205 0.1250 0.0955  2 H 2.12
Mg 0.8750 0.9705 0.5955  2 H 2.12
H 0.0000 0.0000 0.0000  4 Mg 2.12
H 0.7500 0.2500 0.5000  4 Mg 2.12
Cl 0.2500 0.7500 0.5000  4 Mg 2.67
Cl 0.5000 0.5000 0.0000  4 Mg 2.67

- SG = I-42d, No. 122
- DFT total energy (eV per atom) = -2.40
- total magnetization (μB/f.u.) = 0.000



6.
Below is a relaxed structure of HPt2Au, with properties calculated at the PBE level.

a b c (Å): 2.8112 2.8112 7.9109
angles (deg): 90.16 90.16 60.00
Last column: nearest neighbours and their distance in Å.
Positions (direct):
H 0.0000 0.0000 0.0000  3 Pt 1.87
Pt 0.3329 0.3329 0.8837  3 H 1.87
Pt 0.6669 0.6669 0.2267  3 H 2.42
Au 0.3340 0.3340 0.5356  4 Pt 2.75-2.94, 6 Au 2.81

- SG = Cm, No. 8
- DFT total energy (eV per atom) = -4.54
- total magnetization (μB/f.u.) = 0.000